Record 1
# Y2MnFe2, relaxed, DFT PBE
# Total magnetic moment, Bohr magnetons per cell: 3.340
# Space group: P4/mbm, No. 127
# E_form, meV per atom: 234.0
data_Y2MnFe2
_cell_length_a 6.2159
_cell_length_b 6.2159
_cell_length_c 4.5180
_cell_angle_alpha 90.00
_cell_angle_beta 90.00
_cell_angle_gamma 90.00
_symmetry_space_group_name_H-M 'P 1'
_symmetry_Int_Tables_number 1
loop_
_symmetry_equiv_pos_as_xyz
'x,y,z'
loop_
_atom_site_label
_atom_site_type_symbol
_atom_site_fract_x
_atom_site_fract_y
_atom_site_fract_z
_atom_site_occupancy
Y1 Y 0.6821 0.8179 0.5000 1
Y2 Y 0.3179 0.1821 0.5000 1
Fe1 Fe 0.3707 0.8707 0.0000 1
Y3 Y 0.8179 0.3179 0.5000 1
Fe2 Fe 0.1293 0.3707 0.0000 1
Y4 Y 0.1821 0.6821 0.5000 1
Mn1 Mn 0.5000 0.5000 0.0000 1
Mn2 Mn 0.0000 0.0000 0.0000 1
Fe3 Fe 0.6293 0.1293 0.0000 1
Fe4 Fe 0.8707 0.6293 0.0000 1



Record 2
# YMn8Fe4, relaxed, DFT PBE
# Total magnetic moment, Bohr magnetons per cell: 4.009
# Space group: I4/mmm, No. 139
# E_form, meV per atom: 9.4
data_YMn8Fe4
_cell_length_a 6.3344
_cell_length_b 6.3344
_cell_length_c 6.3344
_cell_angle_alpha 97.88
_cell_angle_beta 97.88
_cell_angle_gamma 136.55
_symmetry_space_group_name_H-M 'P 1'
_symmetry_Int_Tables_number 1
loop_
_symmetry_equiv_pos_as_xyz
'x,y,z'
loop_
_atom_site_label
_atom_site_type_symbol
_atom_site_fract_x
_atom_site_fract_y
_atom_site_fract_z
_atom_site_occupancy
Fe1 Fe 0.0000 0.0000 0.5000 1
Mn1 Mn 0.3610 0.0000 0.3610 1
Mn2 Mn 0.5000 0.2713 0.7713 1
Mn3 Mn 0.7287 0.5000 0.2287 1
Mn4 Mn 0.6390 0.0000 0.6390 1
Mn5 Mn 0.2713 0.5000 0.7713 1
Mn6 Mn 0.5000 0.7287 0.2287 1
Mn7 Mn 0.0000 0.3610 0.3610 1
Fe2 Fe 0.5000 0.0000 0.0000 1
Y1 Y 0.0000 0.0000 0.0000 1
Fe3 Fe 0.5000 0.5000 0.5000 1
Mn8 Mn 0.0000 0.6390 0.6390 1
Fe4 Fe 0.0000 0.5000 0.0000 1



Record 3
# Y2MnFe, relaxed, DFT PBE
# Offset from the most stable computed form, meV per atom: 450
# Total magnetic moment, Bohr magnetons per cell: 4.850
# Space group: R-3m, No. 166
# E_form, meV per atom: 467.9
data_Y2MnFe
_cell_length_a 8.8349
_cell_length_b 8.8349
_cell_length_c 8.8349
_cell_angle_alpha 22.61
_cell_angle_beta 22.61
_cell_angle_gamma 22.61
_symmetry_space_group_name_H-M 'P 1'
_symmetry_Int_Tables_number 1
loop_
_symmetry_equiv_pos_as_xyz
'x,y,z'
loop_
_atom_site_label
_atom_site_type_symbol
_atom_site_fract_x
_atom_site_fract_y
_atom_site_fract_z
_atom_site_occupancy
Mn1 Mn 0.7500 0.7500 0.7500 1
Fe1 Fe 0.2500 0.2500 0.2500 1
Y1 Y 0.5084 0.5084 0.5084 1
Y2 Y 0.9916 0.9916 0.9916 1